A) This record from the Alexandria database describes an optimized crystal structure of Pm6PrSm3. The functional is GGA-PBE.

Unit cell a=6.442 b=11.145 c=11.145 alpha=120.55 beta=90.00 gamma=90.00
Element x y z (fractional)
Sm (0.462, 0.292, 0.058)
Pm (0.647, 0.281, 0.719)
Pm (0.147, 0.719, 0.281)
Sm (0.462, 0.942, 0.708)
Pr (0.606, 0.809, 0.191)
Pm (0.054, 0.710, 0.628)
Pm (0.375, 0.056, 0.472)
Pm (0.875, 0.944, 0.528)
Pm (0.554, 0.290, 0.372)
Sm (0.089, 0.384, 0.616)
Pm (0.375, 0.528, 0.944)
Pm (0.554, 0.628, 0.710)
Pm (0.054, 0.372, 0.290)
Sm (0.589, 0.616, 0.384)
Pm (0.875, 0.472, 0.056)
Pr (0.106, 0.191, 0.809)
Sm (0.962, 0.708, 0.942)
Pm (0.361, 0.965, 0.035)
Sm (0.962, 0.058, 0.292)
Pm (0.861, 0.035, 0.965)

Results
Crystal system: orthorhombic

B) This record from the Alexandria database describes an optimized crystal structure of Pm6PrSm3. The functional is GGA-PBE.

Unit cell a=10.056 b=10.056 c=7.038 alpha=44.40 beta=44.40 gamma=60.00
Element x y z (fractional)
Pm (0.075, 0.400, 0.799)
Sm (0.152, 0.152, 0.545)
Sm (0.400, 0.400, 0.801)
Pm (0.900, 0.573, 0.299)
Pm (0.573, 0.227, 0.299)
Sm (0.647, 0.647, 0.058)
Pm (0.726, 0.075, 0.799)
Pm (0.227, 0.900, 0.299)
Pr (0.900, 0.900, 0.301)
Pm (0.400, 0.726, 0.799)

Results
Crystal system: trigonal

Quick one: least stable of them? B)

A) This record from the Alexandria database describes an optimized crystal structure of Pm2PrSm6. The functional is GGA-PBE.

Unit cell a=3.541 b=12.249 c=12.249 alpha=48.01 beta=54.70 gamma=54.70
Element x y z (fractional)
Sm (0.169, 0.000, 0.665)
Sm (0.500, 0.666, 0.334)
Pr (0.000, 0.000, 0.000)
Sm (0.831, 0.335, 0.000)
Pm (0.333, 0.667, 0.667)
Pm (0.667, 0.333, 0.333)
Sm (0.169, 0.665, 0.000)
Sm (0.831, 0.000, 0.335)
Sm (0.500, 0.334, 0.666)

Results
Crystal system: orthorhombic

B) This record from the Alexandria database describes an optimized crystal structure of Pm2PrSm6. The functional is GGA-PBE.

Unit cell a=6.200 b=7.631 c=7.631 alpha=60.00 beta=90.00 gamma=90.00
Element x y z (fractional)
Sm (0.291, 0.813, 0.813)
Sm (0.708, 0.625, 0.187)
Pm (0.215, 0.333, 0.333)
Sm (0.708, 0.187, 0.625)
Pr (0.000, 0.000, 0.000)
Sm (0.292, 0.813, 0.375)
Sm (0.709, 0.187, 0.187)
Pm (0.785, 0.667, 0.667)
Sm (0.292, 0.375, 0.813)

Results
Crystal system: trigonal

Quick one: least stable of them? B)

A) This record from the Alexandria database describes an optimized crystal structure of Pm6PrSm4. The functional is GGA-PBE.

Unit cell a=9.982 b=9.982 c=9.982 alpha=56.18 beta=141.10 gamma=141.10
Element x y z (fractional)
Pr (0.000, 0.000, 0.000)
Pm (0.000, 0.809, 0.451)
Pm (0.500, 0.000, 0.500)
Sm (0.378, 0.368, 0.368)
Sm (0.000, 0.632, 0.010)
Sm (0.000, 0.010, 0.632)
Pm (0.358, 0.549, 0.549)
Pm (0.642, 0.191, 0.191)
Pm (0.500, 0.500, 0.000)
Pm (0.000, 0.451, 0.809)
Sm (0.622, 0.990, 0.990)

Results
Crystal system: tetragonal

B) This record from the Alexandria database describes an optimized crystal structure of Pm6PrSm4. The functional is GGA-PBE.

Unit cell a=3.629 b=11.138 c=11.138 alpha=120.00 beta=90.00 gamma=90.00
Element x y z (fractional)
Pm (0.500, 0.184, 0.816)
Sm (0.500, 0.838, 0.162)
Pm (0.000, 0.524, 0.049)
Pm (0.500, 0.633, 0.816)
Sm (0.500, 0.838, 0.677)
Pm (0.000, 0.951, 0.476)
Pm (0.000, 0.524, 0.476)
Sm (0.500, 0.323, 0.162)
Sm (0.000, 0.333, 0.667)
Pr (0.000, 0.000, 0.000)
Pm (0.500, 0.184, 0.367)

Results
Crystal system: hexagonal

Quick one: least stable of them? A)

A) This record from the Alexandria database describes an optimized crystal structure of PmPr7Sm4. The functional is GGA-PBE.

Unit cell a=6.127 b=9.946 c=8.773 alpha=60.82 beta=69.56 gamma=72.06
Site moments in Bohr magnetons follow the coordinates.
Element x y z (fractional)
Pr (0.500, 0.000, 0.000)  0.16
Pr (0.211, 0.122, 0.456)  0.00
Pr (0.791, 0.228, 0.190)  0.01
Sm (0.328, 0.389, 0.955)  0.01
Pr (0.917, 0.442, 0.724)  0.00
Sm (0.427, 0.698, 0.448)  0.01
Sm (0.672, 0.611, 0.045)  0.01
Pr (0.209, 0.772, 0.810)  0.01
Pm (0.000, 0.000, 0.000)  0.16
Pr (0.083, 0.558, 0.276)  0.00
Sm (0.573, 0.302, 0.552)  0.01
Pr (0.789, 0.878, 0.544)  0.00

Results
Crystal system: monoclinic

B) This record from the Alexandria database describes an optimized crystal structure of PmPr7Sm4. The functional is GGA-PBE.

Unit cell a=7.420 b=6.424 c=11.794 alpha=79.51 beta=50.98 gamma=89.97
Element x y z (fractional)
Sm (0.167, 0.221, 0.334)
Pr (0.500, 0.000, 0.000)
Sm (0.416, 0.723, 0.332)
Pr (0.082, 0.279, 0.667)
Pm (0.000, 0.000, 0.000)
Sm (0.584, 0.277, 0.668)
Pr (0.333, 0.778, 0.667)
Sm (0.833, 0.779, 0.666)
Pr (0.667, 0.222, 0.333)
Pr (0.748, 0.500, 0.001)
Pr (0.252, 0.500, 0.999)
Pr (0.918, 0.721, 0.333)

Results
Crystal system: triclinic

Quick one: least stable of them? A)

A) This record from the Alexandria database describes an optimized crystal structure of Pm4Pr2Sm3. The functional is GGA-PBE.

Unit cell a=8.906 b=8.707 c=8.777 alpha=90.00 beta=90.00 gamma=112.37
Element x y z (fractional)
Pm (0.353, 0.475, 0.364)
Sm (0.000, 0.500, 0.500)
Pm (0.138, 0.922, 0.466)
Sm (0.251, 0.751, 0.182)
Pm (0.147, 0.525, 0.864)
Pr (0.550, 0.175, 0.349)
Sm (0.249, 0.249, 0.682)
Sm (0.751, 0.751, 0.318)
Pm (0.853, 0.475, 0.136)
Pm (0.862, 0.078, 0.534)
Sm (0.500, 0.500, 0.000)
Sm (0.749, 0.249, 0.818)
Pr (0.950, 0.825, 0.849)
Pr (0.450, 0.825, 0.651)
Pm (0.638, 0.922, 0.034)
Pm (0.362, 0.078, 0.966)
Pr (0.050, 0.175, 0.151)
Pm (0.647, 0.525, 0.636)

Results
Crystal system: monoclinic

B) This record from the Alexandria database describes an optimized crystal structure of Pm4Pr2Sm3. The functional is GGA-PBE.

Unit cell a=3.660 b=3.660 c=27.235 alpha=90.00 beta=90.00 gamma=120.00
Element x y z (fractional)
Pr (0.667, 0.333, 0.090)
Sm (0.000, 0.000, 0.324)
Pm (0.000, 0.000, 0.543)
Sm (0.667, 0.333, 0.652)
Sm (0.000, 0.000, 0.983)
Pm (0.667, 0.333, 0.435)
Pm (0.667, 0.333, 0.219)
Pr (0.667, 0.333, 0.871)
Pm (0.000, 0.000, 0.760)

Results
Crystal system: trigonal

Quick one: least stable of them? A)

A) This record from the Alexandria database describes an optimized crystal structure of Pm2Pr6Sm3. The functional is GGA-PBE.

Unit cell a=3.680 b=3.680 c=33.086 alpha=86.81 beta=86.81 gamma=60.00
Element x y z (fractional)
Pr (0.182, 0.182, 0.454)
Pr (0.091, 0.091, 0.728)
Pm (0.546, 0.546, 0.363)
Pr (0.818, 0.818, 0.546)
Pr (0.364, 0.364, 0.909)
Sm (0.000, 0.000, 0.000)
Sm (0.273, 0.273, 0.181)
Pr (0.909, 0.909, 0.272)
Sm (0.727, 0.727, 0.819)
Pm (0.454, 0.454, 0.637)
Pr (0.636, 0.636, 0.091)

Results
Crystal system: trigonal

B) This record from the Alexandria database describes an optimized crystal structure of Pm2Pr6Sm3. The functional is GGA-PBE.

Unit cell a=4.824 b=4.824 c=17.659 alpha=97.85 beta=97.85 gamma=90.00
Element x y z (fractional)
Sm (0.000, 0.000, 0.000)
Sm (0.806, 0.806, 0.611)
Pm (0.545, 0.545, 0.089)
Pr (0.293, 0.293, 0.587)
Pr (0.380, 0.880, 0.760)
Pr (0.880, 0.380, 0.760)
Pr (0.707, 0.707, 0.413)
Pr (0.120, 0.620, 0.240)
Sm (0.194, 0.194, 0.389)
Pm (0.455, 0.455, 0.911)
Pr (0.620, 0.120, 0.240)

Results
Crystal system: tetragonal

Quick one: least stable of them? B)

A) This record from the Alexandria database describes an optimized crystal structure of Pm7PrSm4. The functional is GGA-PBE.

Unit cell a=7.356 b=6.364 c=11.691 alpha=79.51 beta=50.95 gamma=89.98
Element x y z (fractional)
Sm (0.833, 0.779, 0.667)
Pm (0.251, 0.500, 0.000)
Sm (0.167, 0.221, 0.333)
Pm (0.917, 0.721, 0.334)
Pm (0.333, 0.778, 0.667)
Pm (0.749, 0.500, 0.000)
Pr (0.000, 0.000, 0.000)
Pm (0.500, 0.000, 0.000)
Pm (0.083, 0.279, 0.666)
Sm (0.415, 0.722, 0.333)
Pm (0.667, 0.222, 0.333)
Sm (0.585, 0.278, 0.667)

Results
Crystal system: triclinic

B) This record from the Alexandria database describes an optimized crystal structure of Pm7PrSm4. The functional is GGA-PBE.

Unit cell a=6.057 b=9.874 c=8.703 alpha=60.85 beta=69.63 gamma=72.14
Element x y z (fractional)
Pm (0.083, 0.555, 0.278)
Sm (0.573, 0.302, 0.551)
Pm (0.209, 0.770, 0.811)
Pm (0.791, 0.230, 0.189)
Sm (0.672, 0.612, 0.044)
Pm (0.917, 0.445, 0.722)
Pr (0.000, 0.000, 0.000)
Sm (0.328, 0.388, 0.956)
Pm (0.500, 0.000, 0.000)
Pm (0.786, 0.880, 0.549)
Sm (0.427, 0.698, 0.449)
Pm (0.214, 0.120, 0.451)

Results
Crystal system: monoclinic

Quick one: least stable of them? B)

A) This record from the Alexandria database describes an optimized crystal structure of Pm4Pr5Sm. The functional is GGA-PBE.

Unit cell a=3.537 b=7.002 c=14.595 alpha=97.15 beta=96.96 gamma=90.00
Element x y z (fractional)
Pr (0.200, 0.599, 0.400)
Pr (0.205, 0.105, 0.411)
Pr (0.500, 0.500, 0.000)
Pm (0.393, 0.189, 0.786)
Pm (0.906, 0.703, 0.813)
Pm (0.607, 0.811, 0.214)
Pr (0.800, 0.401, 0.600)
Pm (0.094, 0.297, 0.187)
Pr (0.795, 0.895, 0.589)
Sm (0.500, 0.000, 0.000)

Results
Crystal system: monoclinic

B) This record from the Alexandria database describes an optimized crystal structure of Pm4Pr5Sm. The functional is GGA-PBE.

Unit cell a=6.327 b=8.159 c=8.159 alpha=81.35 beta=67.19 gamma=67.19
Element x y z (fractional)
Pr (0.771, 0.000, 0.379)
Pr (0.771, 0.379, 0.000)
Sm (0.225, 0.000, 0.000)
Pm (0.439, 0.674, 0.326)
Pm (0.765, 0.674, 0.674)
Pr (0.150, 0.000, 0.621)
Pm (0.439, 0.326, 0.674)
Pr (0.687, 0.000, 0.000)
Pm (0.114, 0.326, 0.326)
Pr (0.150, 0.621, 0.000)

Results
Crystal system: tetragonal

Quick one: least stable of them? B)

A) This record from the Alexandria database describes an optimized crystal structure of Pm7PrSm2. The functional is GGA-PBE.

Unit cell a=3.532 b=10.452 c=10.452 alpha=109.31 beta=90.00 gamma=90.00
Element x y z (fractional)
Sm (0.500, 0.828, 0.172)
Pm (0.000, 0.325, 0.675)
Sm (0.500, 0.172, 0.828)
Pm (0.500, 0.127, 0.387)
Pm (0.500, 0.500, 0.500)
Pm (0.500, 0.873, 0.613)
Pm (0.500, 0.613, 0.873)
Pr (0.000, 0.000, 0.000)
Pm (0.500, 0.387, 0.127)
Pm (0.000, 0.675, 0.325)

Results
Crystal system: orthorhombic

B) This record from the Alexandria database describes an optimized crystal structure of Pm7PrSm2. The functional is GGA-PBE.

Unit cell a=5.667 b=9.309 c=9.309 alpha=122.98 beta=90.00 gamma=90.00
Element x y z (fractional)
Pm (0.500, 0.294, 0.065)
Pm (0.500, 0.500, 0.500)
Sm (0.500, 0.297, 0.703)
Pm (0.500, 0.706, 0.935)
Pm (0.500, 0.065, 0.294)
Pm (0.000, 0.774, 0.226)
Sm (0.500, 0.703, 0.297)
Pr (0.000, 0.000, 0.000)
Pm (0.000, 0.226, 0.774)
Pm (0.500, 0.935, 0.706)

Results
Crystal system: orthorhombic

Quick one: least stable of them? B)

A) This record from the Alexandria database describes an optimized crystal structure of Pm3Pr4Sm5. The functional is GGA-PBE.

Unit cell a=7.316 b=11.585 c=13.218 alpha=151.29 beta=56.38 gamma=129.19
Element x y z (fractional)
Sm (0.751, 0.499, 0.999)
Pm (0.000, 0.000, 0.500)
Pr (0.084, 0.165, 0.333)
Pr (0.832, 0.665, 0.833)
Sm (0.332, 0.666, 0.834)
Sm (0.500, 0.000, 0.500)
Pr (0.916, 0.835, 0.667)
Sm (0.249, 0.501, 0.001)
Pm (0.419, 0.835, 0.667)
Pm (0.581, 0.165, 0.333)
Pr (0.168, 0.335, 0.167)
Sm (0.668, 0.334, 0.166)

Results
Crystal system: triclinic

B) This record from the Alexandria database describes an optimized crystal structure of Pm3Pr4Sm5. The functional is GGA-PBE.

Unit cell a=6.075 b=8.749 c=9.908 alpha=105.95 beta=72.15 gamma=69.69
Element x y z (fractional)
Pm (0.481, 0.311, 0.727)
Sm (0.500, 0.500, 0.500)
Sm (0.375, 0.052, 0.198)
Pr (0.834, 0.953, 0.379)
Sm (0.217, 0.455, 0.110)
Sm (0.625, 0.948, 0.802)
Pr (0.859, 0.224, 0.058)
Pm (0.000, 0.500, 0.500)
Pr (0.141, 0.776, 0.942)
Pr (0.166, 0.047, 0.621)
Sm (0.783, 0.545, 0.890)
Pm (0.519, 0.689, 0.273)

Results
Crystal system: monoclinic

Quick one: least stable of them? B)